{
  "formula": "LiSiOs2Pd",
  "functional": "PBE",
  "state": "relaxed",
  "e_form_raw_ev_per_atom": 0.82,
  "vol_a3_per_atom": 17.88,
  "total_energy_ev_per_atom": -6.176,
  "m_tot_mub_per_cell": 2.46,
  "lattice_angstrom": [[-3.8083, -1.4357, 1.7926], [1.9580, -0.1071, 4.0740], [-1.2511, 4.2078, 0.7120]],
  "species": ["Li", "Si", "Os", "Os", "Pd"],
  "fractional_positions": [[0.5000, 0.5000, 0.5000], [0.0000, 0.0000, 0.0000], [0.5000, 0.0000, 0.0000], [0.0000, 0.0000, 0.5000], [0.0000, 0.5000, 0.0000]]
}